The following is a DFT calculation (GGA+U) of an optimized crystal structure of CaTaCrO6.

a b c (Å): 4.8151 4.8151 9.5170
angles (deg): 90.00 90.00 90.00
Fractional coordinates of all 18 atoms:
1 O 0.7340 0.7340 0.3062
2 O 0.6746 0.6746 0.9945
3 O 0.7660 0.2340 0.8062
4 O 0.7812 0.2188 0.1947
5 O 0.3254 0.3254 0.9945
6 O 0.7188 0.7188 0.6947
7 O 0.1746 0.8254 0.4945
8 O 0.2812 0.2812 0.6947
9 O 0.2188 0.7812 0.1947
10 O 0.2340 0.7660 0.8062
11 O 0.2660 0.2660 0.3062
12 O 0.8254 0.1746 0.4945
13 Cr 0.5000 0.5000 0.8393
14 Cr 0.0000 0.0000 0.3393
15 Ca 0.0000 0.0000 0.0076
16 Ca 0.5000 0.5000 0.5076
17 Ta 0.5000 0.5000 0.1622
18 Ta 0.0000 0.0000 0.6622

## Properties
SG: No. 102
E_tot (eV/atom): -7.91
Magnetic moment (μB/atom): 0.111